GGA-PBE CsCdBr2F, relaxed; uncorrected formation energy = -1.6039 eV/atom; calculated volume = 29.50 Å³ per atom; energy = -3.001 eV per atom; DOS(E_F) = 0.00 states/eV/cell
1.0
5.711 0.000 0.000
0.000 5.711 0.000
0.000 0.000 4.523
Cs Cd Br F
1 1 2 1
Cartesian
0.000 0.000 0.000
2.855 2.855 2.262
0.000 2.855 2.262
2.855 0.000 2.262
2.855 2.855 0.000

=====

GGA-PBE CdMoSe2, relaxed; uncorrected formation energy = 0.0537 eV/atom; calculated volume = 21.13 Å³ per atom; energy = -4.625 eV per atom; DOS(E_F) = 4.02 states/eV/cell
1.0
3.084 0.000 0.000
0.000 3.084 0.000
0.000 0.000 8.886
Cd Mo Se
1 1 2
Cartesian
0.000 0.000 0.000
1.542 1.542 2.108
0.000 0.000 3.474
1.542 1.542 6.628

=====

GGA-PBE NiMoP2, relaxed; calculated volume = 13.51 Å³ per atom; energy = -7.098 eV per atom; DOS(E_F) = 2.15 states/eV/cell
1.0
3.081 0.000 0.000
0.000 3.087 0.000
-1.461 0.000 5.681
Ni Mo P
1 1 2
Cartesian
0.000 0.000 0.000
-0.731 0.000 2.841
0.780 1.544 1.490
0.840 1.544 4.191